Entry 1:
Li2Ho3Tl4 | PBE | optimized geometry

a = 5.9933 Å, b = 5.9933 Å, c = 9.3587 Å
α = 115.78°, β = 115.78°, γ = 48.32°
Atoms (fractional coordinates):
1 Li 0.1175 0.1175 0.2914
2 Li 0.8825 0.8825 0.7086
3 Ho 0.1606 0.1606 0.6608
4 Ho 0.5000 0.5000 0.0000
5 Ho 0.8394 0.8394 0.3392
6 Tl 0.2274 0.2274 0.0838
7 Tl 0.4395 0.4395 0.6204
8 Tl 0.5605 0.5605 0.3796
9 Tl 0.7726 0.7726 0.9162

Values from the calculation:
symmetry	C2/m



Entry 2:
Li3ZnAg | PBE | optimized geometry

a = 4.8679 Å, b = 4.8679 Å, c = 4.8679 Å
α = 90.00°, β = 90.00°, γ = 90.00°
Atoms (fractional coordinates):
1 Li 0.0000 0.0000 0.5000
2 Li 0.0000 0.5000 0.0000
3 Li 0.5000 0.0000 0.0000
4 Zn 0.5000 0.5000 0.5000
5 Ag 0.0000 0.0000 0.0000

Values from the calculation:
symmetry	Pm-3m
ΔE to the lowest computed polymorph	1.88	eV per formula unit



Number 1: calculated density 9.98 Mg/m³, formation energy -27.1 kJ per mole of atoms, volume 24.522 Å³/atom. Number 2: calculated density 2.79 Mg/m³, formation energy 19.4 kJ per mole of atoms, volume 23.070 Å³/atom.